Record 1
A plane-wave DFT calculation with PBE was carried out for TeHRu after structural relaxation.

Symmetry: No. 129

Cell and atoms, written as POSCAR:
```
TeHRu
1.0
4.284 0.000 0.000
0.000 4.284 0.000
0.000 0.000 5.954
Ru Te H
2 2 2
Cartesian
0.000 0.000 2.977
2.142 2.142 2.977
0.000 2.142 1.568
2.142 0.000 4.386
0.000 2.142 5.763
2.142 0.000 0.191
```


Record 2
A plane-wave DFT calculation with PBE was carried out for Te2HRu after structural relaxation.

Symmetry: No. 122

Cell and atoms, written as POSCAR:
```
Te2HRu
1.0
-3.380 4.515 0.686
-4.561 -3.381 -0.226
-3.755 -0.081 5.557
Ru Te H
2 4 2
Cartesian
0.000 0.000 0.000
-5.553 2.501 3.237
-3.514 2.235 1.768
-4.319 -1.425 1.356
-5.939 0.257 4.333
-9.619 1.040 4.578
-3.971 0.567 0.230
-6.143 -1.447 2.781
```


Record 3
A plane-wave DFT calculation with PBE was carried out for TeHRu2 after structural relaxation.

Symmetry: No. 225

Cell and atoms, written as POSCAR:
```
TeHRu2
1.0
0.000 3.023 3.023
3.023 0.000 3.023
3.023 3.023 0.000
Ru Te H
2 1 1
Cartesian
1.511 1.511 1.511
4.534 4.534 4.534
3.023 3.023 3.023
0.000 0.000 0.000
```


Record 4
A plane-wave DFT calculation with PBE was carried out for Te3HRu after structural relaxation.

Symmetry: No. 221

Cell and atoms, written as POSCAR:
```
Te3HRu
1.0
-2.175 -4.598 -1.296
4.630 -1.679 -1.816
1.176 -1.895 4.752
Ru Te H
1 3 1
Cartesian
0.000 0.000 0.000
2.315 -0.839 -0.908
0.588 -0.948 2.376
-1.088 -2.299 -0.648
1.816 -4.086 0.820
```


Record 5
A plane-wave DFT calculation with PBE was carried out for TeHRu after structural relaxation.

Symmetry: No. 12

Cell and atoms, written as POSCAR:
```
TeHRu
1.0
-0.117 -1.410 -2.763
4.139 -0.177 1.656
-1.634 -6.931 3.610
Ru Te H
2 2 2
Cartesian
0.122 -4.184 2.131
2.267 -4.334 0.371
2.733 -1.765 0.785
-0.345 -6.753 1.718
0.423 -4.008 0.285
1.965 -4.510 2.218
```


Record 6
A plane-wave DFT calculation with PBE was carried out for Th3H12Ru5 after structural relaxation.

Symmetry: No. 230

Cell and atoms, written as POSCAR:
```
Th3H12Ru5
1.0
10.225 0.000 0.000
-3.408 9.640 0.000
-3.408 -4.820 8.348
Ru Th H
20 12 48
Cartesian
-0.852 2.410 2.087
-1.704 4.820 0.000
0.000 0.000 0.000
2.556 1.807 1.044
3.408 -2.410 4.174
3.408 4.820 0.000
-2.556 5.422 3.131
4.260 -3.012 7.305
4.260 4.217 3.131
0.852 -2.410 6.261
2.556 7.230 2.087
1.704 2.410 4.174
5.112 0.000 0.000
-1.704 -2.410 4.174
-0.852 0.602 5.218
-0.852 7.832 1.044
-3.408 2.410 4.174
5.964 -0.602 5.218
0.852 3.012 7.305
4.260 2.410 6.261
5.964 3.012 1.044
5.964 6.627 1.044
-0.852 4.217 5.218
0.852 -0.602 3.131
7.669 0.000 2.087
0.852 4.820 2.087
2.556 0.000 6.261
-4.260 4.820 6.261
2.556 5.422 5.218
4.260 0.602 3.131
-2.556 -1.807 7.305
-2.556 1.807 7.305
6.672 0.864 0.086
0.144 2.917 3.469
7.673 2.400 2.608
4.256 1.351 0.792
1.409 3.364 5.654
7.523 4.780 1.480
-0.857 5.869 3.400
-2.551 8.289 0.792
0.295 6.276 5.654
4.406 4.860 1.480
5.257 2.767 3.382
5.257 8.776 0.086
-3.113 4.169 4.261
2.410 3.558 0.774
-3.553 6.873 3.382
1.849 -1.903 4.880
-0.295 0.805 1.566
2.410 6.121 0.705
4.256 7.240 2.608
-0.706 3.518 0.705
-1.999 5.624 6.782
2.561 3.771 3.400
4.817 5.471 4.261
4.114 -1.262 7.574
0.847 1.049 4.949
-1.409 -0.651 4.088
-0.706 6.082 0.774
-0.847 -2.420 5.740
5.407 -0.805 1.566
4.114 1.302 7.643
0.998 -1.302 7.643
1.560 6.723 3.469
3.703 4.015 6.782
6.961 -2.053 4.966
6.521 0.651 4.088
-1.849 -3.956 8.262
0.998 1.262 7.574
3.113 -1.456 2.694
-0.998 -0.040 6.869
-1.849 2.053 4.966
5.960 -3.469 7.557
4.265 -1.049 4.949
-0.847 3.469 7.557
-4.114 0.040 6.869
1.999 1.456 2.694
-4.265 2.420 5.740
3.264 1.903 4.880
-3.264 3.956 8.262
```


no.,ρ (g/cm³),total DFT energy (no corrections) (eV/f.u.),magnetic moment (μB per cell)
1,7.0,-14.68,0.0
2,6.8,-17.35,0.0
3,9.9,-22.89,0.0
4,5.6,-17.59,0.5
5,7.4,-15.09,0.0
6,9.8,-112.52,0.0